The following is a PBE+U calculation of a relaxed structure of BaSbMoO6, from Alexandria via LeMat-Bulk.

Output
Its crystal system is trigonal. For the spin magnetization, the calculation gives 1.000 μB per formula unit. The calculation puts the uncorrected energy at -60.57 eV/cell.

Cell and atoms, written as POSCAR:
```
BaSbMoO6
1.0
5.434 0.000 0.000
2.717 4.706 0.000
0.000 0.000 5.743
Ba Sb Mo O
1 1 1 6
direct
0.000 0.000 0.000
0.333 0.333 0.500
0.667 0.667 0.500
0.999 0.399 0.302
0.399 0.999 0.698
0.602 0.399 0.698
0.999 0.603 0.698
0.399 0.603 0.302
0.603 0.999 0.302
```